# 1
Compound: YCdHgIr2
Source: Alexandria
Functional: GGA-PBE
Structure: relaxed

DFT formation energy, eV per atom: 1.226
Raw total energy, eV per atom: -3.854
Total magnetization, μB/f.u.: 0.00

CIF file:
```
data_YCdHgIr2
_chemical_formula_sum 'Y1 Cd1 Hg1 Ir2'
_symmetry_space_group_name_H-M 'P 4/m m m'
_symmetry_Int_Tables_number 123
_symmetry_space_group_name_Hall '-P 4 2'
_cell_length_a 5.024
_cell_length_b 5.024
_cell_length_c 5.260
_cell_angle_alpha 90.00
_cell_angle_beta 90.00
_cell_angle_gamma 90.00
loop_
_atom_site_label
_atom_site_type_symbol
_atom_site_fract_x
_atom_site_fract_y
_atom_site_fract_z
Y1 Y 0.000 0.000 0.000
Cd1 Cd 0.500 0.500 0.000
Hg1 Hg 0.000 0.000 0.500
Ir1 Ir 0.000 0.500 0.500
```

***

# 2
Compound: CeScAgOs
Source: Alexandria
Functional: GGA-PBE
Structure: relaxed

DFT formation energy, eV per atom: -0.161
Raw total energy, eV per atom: -6.748
Total magnetization, μB/f.u.: 0.28

CIF file:
```
data_CeScAgOs
_chemical_formula_sum 'Ce4 Sc4 Ag4 Os4'
_symmetry_space_group_name_H-M 'F -4 3 m'
_symmetry_Int_Tables_number 216
_symmetry_space_group_name_Hall 'F -4 2 3'
_cell_length_a 6.901
_cell_length_b 6.901
_cell_length_c 6.901
_cell_angle_alpha 90.00
_cell_angle_beta 90.00
_cell_angle_gamma 90.00
loop_
_atom_site_label
_atom_site_type_symbol
_atom_site_fract_x
_atom_site_fract_y
_atom_site_fract_z
Ce1 Ce 0.000 0.000 0.000
Sc1 Sc 0.000 0.000 0.500
Ag1 Ag 0.250 0.250 0.750
Os1 Os 0.250 0.250 0.250
```

***

# 3
Compound: LiTl3As2Se6
Source: Alexandria
Functional: GGA-PBE
Structure: relaxed

Raw total energy, eV per atom: -3.580
Formation energy (no corrections), eV per atom: -0.31
Total magnetization, μB/f.u.: 0.00

CIF file:
```
data_LiTl3As2Se6
_chemical_formula_sum 'Li2 Tl6 As4 Se12'
_symmetry_space_group_name_H-M 'C 1 2/m 1'
_symmetry_Int_Tables_number 12
_cell_length_a 7.058
_cell_length_b 12.168
_cell_length_c 7.316
_cell_angle_alpha 90.00
_cell_angle_beta 108.45
_cell_angle_gamma 90.00
loop_
_symmetry_equiv_pos_as_xyz
'x,y,z'
'-x,-y,-z'
'-x,y,-z'
'x,-y,z'
'x+1/2,y+1/2,z'
'-x+1/2,-y+1/2,-z'
'-x+1/2,y+1/2,-z'
'x+1/2,-y+1/2,z'
loop_
_atom_site_label
_atom_site_type_symbol
_atom_site_fract_x
_atom_site_fract_y
_atom_site_fract_z
Li1 Li 0.000 0.000 0.000
Tl1 Tl 0.000 0.164 0.500
Tl2 Tl 0.000 0.500 0.500
As1 As 0.000 0.335 0.000
Se1 Se 0.226 0.500 0.202
Se2 Se 0.243 0.169 0.212
```